A plane-wave DFT calculation with PBE was carried out for a geometry-optimized KBPt3 structure.

Lattice parameters (Å, degrees): 21.3935 9.3157 9.3157 152.71 159.19 20.81
Sites, in units of the cell vectors:
K  0.9000  0.9521  0.0479
K  0.1000  0.0479  0.9521
B  0.6030  0.0766  0.9234
B  0.3970  0.9234  0.0766
Pt  0.3644  0.6003  0.3997
Pt  0.6356  0.3997  0.6003
Pt  0.7765  0.7868  0.2132
Pt  0.2235  0.2132  0.7868
Pt  0.4362  0.3653  0.6347
Pt  0.5638  0.6347  0.3653

Properties
The energy of formation comes out at 0.0027 eV per atom. The total energy comes out at -51.767 eV per cell.